Computed, not measured: crystalline Ba2CaCu2 at its relaxed geometry at the PBE level of DFT.

```
Ba2CaCu2
1.0
5.758 0.000 0.000
0.000 5.758 0.000
2.879 2.879 5.857
Cu Ca Ba
2 1 2
Direct
0.250 0.750 0.500
0.750 0.250 0.500
0.000 0.000 0.000
0.656 0.656 0.687
0.344 0.344 0.313
```

Calculated values
Offset from the most stable computed form (eV per atom): 0.321
Formation energy (eV/atom): 0.311
Final energy (eV/atom): -2.50